(1)
YMo2Ru after structural relaxation, computed with PBE.

```
YMo2Ru
1.0
1.5730 0.9082 8.5800
-1.5730 0.9082 8.5800
0.0000 -1.8163 8.5800
Y Mo Ru
1 2 1
Cartesian
0.0000 0.0000 0.0000
0.0000 0.0000 6.0686
0.0000 0.0000 12.8138
0.0000 0.0000 19.4421
```

Computed properties:
The calculation puts the energy relative to the elements at 0.4023 eV/atom. The energy above the most stable polymorph in this dataset is 27.7 kJ/mol of atoms.

(2)
YMoRu2 after structural relaxation, computed with PBE.

```
YMoRu2
1.0
3.1323 0.0000 0.0000
0.0000 3.1323 0.0000
0.0000 0.0000 7.1460
Y Mo Ru
1 1 2
Cartesian
0.0000 0.0000 0.0000
0.0000 0.0000 3.5730
1.5661 1.5661 2.0938
1.5661 1.5661 5.0522
```

Computed properties:
The calculation puts the energy relative to the elements at -0.0447 eV/atom. The energy above the most stable polymorph in this dataset is 0.0 kJ/mol of atoms.

(3)
YMo2Ru after structural relaxation, computed with PBE.

```
YMo2Ru
1.0
4.6487 0.0000 0.0000
0.0000 4.6487 0.0000
0.0000 0.0000 3.2138
Y Mo Ru
1 2 1
Cartesian
0.0000 0.0000 0.0000
0.0000 2.3244 1.6069
2.3244 0.0000 1.6069
2.3244 2.3244 0.0000
```

Computed properties:
The calculation puts the energy relative to the elements at 0.4872 eV/atom. The energy above the most stable polymorph in this dataset is 35.9 kJ/mol of atoms.

(4)
YMo2Ru2 after structural relaxation, computed with PBE.

```
YMo2Ru2
1.0
7.7564 0.0000 0.0000
0.0000 7.7564 0.0000
0.0000 0.0000 2.8666
Y Mo Ru
2 4 4
Cartesian
0.0000 0.0000 0.0000
3.8782 3.8782 0.0000
1.1506 2.7275 0.0000
2.7275 6.6057 0.0000
5.0288 1.1506 0.0000
6.6057 5.0288 0.0000
1.1062 4.9844 1.4333
2.7719 1.1062 1.4333
4.9844 6.6501 1.4333
6.6501 2.7719 1.4333
```

Computed properties:
The calculation puts the energy relative to the elements at 0.1233 eV/atom. The energy above the most stable polymorph in this dataset is 15.0 kJ/mol of atoms.

(5)
Y2MoRu2 after structural relaxation, computed with PBE.

```
Y2MoRu2
1.0
6.6051 0.0000 0.0000
0.0000 6.6051 0.0000
0.0000 0.0000 4.6876
Y Mo Ru
4 2 4
Cartesian
1.1844 2.1181 0.0000
2.1181 5.4207 0.0000
4.4869 1.1844 0.0000
5.4207 4.4869 0.0000
0.0000 0.0000 2.3438
3.3025 3.3025 2.3438
0.9146 4.2171 2.3438
2.3880 0.9146 2.3438
4.2171 5.6905 2.3438
5.6905 2.3880 2.3438
```

Computed properties:
The calculation puts the energy relative to the elements at -0.1097 eV/atom.

(6)
YMoRu2 after structural relaxation, computed with PBE.

```
YMoRu2
1.0
-1.6953 2.4642 4.2379
1.6953 -2.4642 4.2379
1.6953 2.4642 -4.2379
Y Mo Ru
1 1 2
Cartesian
0.0000 0.0000 0.0000
0.0000 0.0000 4.2379
1.6953 0.0000 2.3503
0.0000 2.4642 1.8876
```

Computed properties:
The calculation puts the energy relative to the elements at 0.1982 eV/atom. The energy above the most stable polymorph in this dataset is 23.4 kJ/mol of atoms.

(7)
YMo2Ru after structural relaxation, computed with PBE.

```
YMo2Ru
1.0
0.0000 3.2474 3.2474
3.2474 0.0000 3.2474
3.2474 3.2474 0.0000
Y Mo Ru
1 2 1
Cartesian
0.0000 0.0000 0.0000
1.6237 1.6237 1.6237
4.8712 4.8712 4.8712
3.2474 3.2474 3.2474
```

Computed properties:
The calculation puts the energy relative to the elements at 0.3807 eV/atom. The energy above the most stable polymorph in this dataset is 25.6 kJ/mol of atoms.

(8)
YMo2Ru after structural relaxation, computed with PBE.

```
YMo2Ru
1.0
3.0024 0.0000 0.0000
0.0000 4.1823 0.0000
-1.3176 0.0000 5.8267
Y Mo Ru
1 2 1
Cartesian
0.0000 0.0000 0.0000
0.8622 0.0000 2.9544
1.7078 2.0911 1.7869
-0.1010 2.0911 4.1864
```

Computed properties:
The calculation puts the energy relative to the elements at 0.2424 eV/atom. The energy above the most stable polymorph in this dataset is 12.3 kJ/mol of atoms.

(9)
YMoRu4 after structural relaxation, computed with PBE.

```
YMoRu4
1.0
0.0000 3.6726 3.6726
3.6726 0.0000 3.6726
3.6726 3.6726 0.0000
Y Mo Ru
1 1 4
Cartesian
0.0000 0.0000 0.0000
5.5089 5.5089 5.5089
2.7538 2.7538 2.7538
4.5913 4.5913 2.7538
4.5913 2.7538 4.5913
2.7538 4.5913 4.5913
```

Computed properties:
The calculation puts the energy relative to the elements at 0.0974 eV/atom.

(10)
YMo2Ru after structural relaxation, computed with PBE.

```
YMo2Ru
1.0
-1.6147 2.2678 4.8284
1.6147 -2.2678 4.8284
1.6147 2.2678 -4.8284
Y Mo Ru
1 2 1
Cartesian
0.0000 0.0000 0.0000
1.6147 0.0000 2.5260
0.0000 2.2678 2.3024
0.0000 0.0000 4.8284
```

Computed properties:
The calculation puts the energy relative to the elements at 0.1629 eV/atom. The energy above the most stable polymorph in this dataset is 4.6 kJ/mol of atoms.

(11)
YMo2Ru2 after structural relaxation, computed with PBE.

```
YMo2Ru2
1.0
-2.1911 2.1911 5.0172
2.1911 -2.1911 5.0172
2.1911 2.1911 -5.0172
Y Mo Ru
1 2 2
Cartesian
0.0000 0.0000 0.0000
0.0000 0.0000 3.7533
0.0000 0.0000 6.2811
2.1911 0.0000 2.5086
0.0000 2.1911 2.5086
```

Computed properties:
The calculation puts the energy relative to the elements at 0.1121 eV/atom. The energy above the most stable polymorph in this dataset is 14.0 kJ/mol of atoms.

(12)
Y2MoRu after structural relaxation, computed with PBE.

```
Y2MoRu
1.0
1.6687 0.9634 8.8592
-1.6687 0.9634 8.8592
0.0000 -1.9268 8.8592
Y Mo Ru
2 1 1
Cartesian
0.0000 0.0000 6.4998
0.0000 0.0000 20.0779
0.0000 0.0000 0.0000
0.0000 0.0000 13.2889
```

Computed properties:
The calculation puts the energy relative to the elements at 0.4189 eV/atom. The energy above the most stable polymorph in this dataset is 37.6 kJ/mol of atoms.

energy relative to the elements of number 2 (YMoRu2)? -0.0447 eV/atom

What is the energy relative to the elements in the fourth record? 0.1233 eV/atom

energy relative to the elements of number 6 (YMoRu2)? 0.1982 eV/atom

Copy entry 3 word for word.
YMo2Ru after structural relaxation, computed with PBE.

```
YMo2Ru
1.0
4.6487 0.0000 0.0000
0.0000 4.6487 0.0000
0.0000 0.0000 3.2138
Y Mo Ru
1 2 1
Cartesian
0.0000 0.0000 0.0000
0.0000 2.3244 1.6069
2.3244 0.0000 1.6069
2.3244 2.3244 0.0000
```

Computed properties:
The calculation puts the energy relative to the elements at 0.4872 eV/atom. The energy above the most stable polymorph in this dataset is 35.9 kJ/mol of atoms.